A plane-wave DFT calculation with PBE was carried out for an optimized crystal structure of Sn2As2Au.

Unit cell a=3.7908 b=3.7908 c=8.6649 alpha=77.36 beta=77.36 gamma=90.00
Sites, in units of the cell vectors:
As 0.2500 0.7500 0.5000
As 0.7500 0.2500 0.5000
Sn 0.5954 0.5954 0.8092
Sn 0.4046 0.4046 0.1908
Au 0.0000 0.0000 0.0000

Calculated values
Calculated formation energy in kJ/mol of atoms: 10.1
SG: I4/mmm
Relative energy among the computed polymorphs in meV/atom: 15
Total DFT energy (no corrections) in eV for the cell shown: -20.06